No. 1
! PBE La3Pr4HoTe8, relaxed; values from VASP
! * crystal system: monoclinic
! * total DFT energy (no corrections): -5.45 eV per atom
! * formation energy from raw total energies: -23.5 eV per formula unit
! * magnetization: 0.000 μB/f.u.
&SYSTEM
  ibrav = 0, nat = 16, ntyp = 4
/
ATOMIC_SPECIES
La 138.91 La.upf
Pr 140.91 Pr.upf
Ho 164.93 Ho.upf
Te 127.60 Te.upf
ATOMIC_POSITIONS angstrom
La -3.794 -3.882 -3.400
La -1.973 -4.007 0.747
La 2.509 -3.548 1.273
Pr -4.483 -0.459 -0.527
Pr -2.661 -0.583 3.620
Pr 0.000 0.000 0.000
Pr 1.821 -0.124 4.147
Ho 0.688 -3.423 -2.874
Te -1.157 -5.328 -4.529
Te 0.616 -5.448 -0.494
Te -0.078 -2.050 2.447
Te -5.759 -5.799 -5.070
Te 1.812 -2.214 6.563
Te -3.869 -5.963 -0.954
Te -4.562 -2.565 1.987
Te -2.789 -2.685 6.022
CELL_PARAMETERS angstrom
-8.965 -0.918 -1.053
1.376 -6.847 -5.747
3.642 -0.248 8.294



No. 2
! PBE AcPuAgRu, relaxed; values from VASP
! * crystal system: cubic
! * total DFT energy (no corrections): -7.58 eV per atom
! * calculated formation energy: 0.058 eV per atom
! * magnetization: 5.442 μB/f.u.
&SYSTEM
  ibrav = 0, nat = 4, ntyp = 4
/
ATOMIC_SPECIES
Ru 101.07 Ru.upf
Ac 227.00 Ac.upf
Ag 107.87 Ag.upf
Pu 244.00 Pu.upf
ATOMIC_POSITIONS angstrom
Ru -6.825 2.765 6.044
Ac 0.000 0.000 0.000
Ag -2.275 0.922 2.015
Pu -4.550 1.843 4.029
CELL_PARAMETERS angstrom
-3.373 3.769 1.140
-4.648 -1.188 1.969
-1.078 1.105 4.950



No. 3
! PBE ErCo3Si3, relaxed; values from VASP
! * crystal system: trigonal
! * total DFT energy (no corrections): -6.37 eV per atom
! * formation energy from raw total energies: -2.4 eV per formula unit
! * energy relative to the lowest polymorph listed for this composition: 0 meV per atom
! * magnetization: 0.004 μB/f.u.
&SYSTEM
  ibrav = 0, nat = 14, ntyp = 3
/
ATOMIC_SPECIES
Er 167.26 Er.upf
Co 58.93 Co.upf
Si 28.09 Si.upf
ATOMIC_POSITIONS angstrom
Er 3.096 1.788 0.050
Er 9.289 5.363 6.479
Co 7.595 5.180 4.112
Co 6.881 1.558 4.112
Co 4.101 3.987 4.112
Co 8.284 3.163 2.417
Co 5.504 5.593 2.417
Co 4.790 1.970 2.417
Si 4.036 4.052 1.826
Si 6.858 1.469 1.826
Si 7.684 5.204 1.826
Si 4.701 1.946 4.702
Si 5.527 5.681 4.702
Si 8.349 3.098 4.702
CELL_PARAMETERS angstrom
6.192 0.000 0.000
3.096 5.363 0.000
3.096 1.788 6.528



No. 4
! PBE NaMgTlZn, relaxed; values from VASP
! * crystal system: cubic
! * total DFT energy (no corrections): -1.63 eV per atom
! * calculated formation energy: 0.010 eV per atom
! * magnetization: 0.000 μB/f.u.
&SYSTEM
  ibrav = 0, nat = 4, ntyp = 4
/
ATOMIC_SPECIES
Mg 24.30 Mg.upf
Na 22.99 Na.upf
Tl 204.38 Tl.upf
Zn 65.41 Zn.upf
ATOMIC_POSITIONS angstrom
Mg -1.880 -2.289 0.920
Na -5.639 -6.867 2.760
Tl -3.759 -4.578 1.840
Zn 0.000 0.000 0.000
CELL_PARAMETERS angstrom
-2.061 -4.437 -1.310
-0.752 -3.577 3.506
-4.706 -1.143 1.484



The lowest total DFT energy (no corrections) belongs to which entry? AcPuAgRu



Number 4 is which compound? NaMgTlZn



Among the records above, which one has the highest magnetization? AcPuAgRu